A geometry-optimized InFeAs2 structure. Source: the Alexandria database, functional GGA-PBE.

The structure in POSCAR format:
```
InFeAs2
1.0
-1.472 -4.307 -4.182
-3.831 -4.800 0.696
1.239 6.055 -0.032
As Fe In
2 1 1
Direct
0.924 0.924 0.000 As
0.576 0.576 0.000 As
0.750 0.250 0.500 Fe
0.250 0.750 0.500 In
```

Values from the calculation:
**Space-group type**: No. 71
**Energy of formation**: 40 kJ/mol of formula units
**Total DFT energy (no corrections)**: -20.08 eV/cell

---

A geometry-optimized LiIn12Sn6 structure. Source: the Alexandria database, functional GGA-PBE.

The structure in POSCAR format:
```
LiIn12Sn6
1.0
8.031 -0.351 0.285
0.262 8.034 0.285
-0.378 -0.351 8.027
In Sn Li
12 6 1
Direct
0.533 0.455 0.796 In
0.853 0.634 0.964 In
0.147 0.366 0.036 In
0.634 0.964 0.853 In
0.796 0.533 0.455 In
0.036 0.147 0.366 In
0.366 0.036 0.147 In
0.204 0.467 0.545 In
0.455 0.796 0.533 In
0.964 0.853 0.634 In
0.545 0.204 0.467 In
0.467 0.545 0.204 In
0.247 0.723 0.886 Sn
0.886 0.247 0.723 Sn
0.114 0.753 0.277 Sn
0.277 0.114 0.753 Sn
0.723 0.886 0.247 Sn
0.753 0.277 0.114 Sn
0.000 0.000 0.000 Li
```

Values from the calculation:
**Space-group type**: No. 148
**Energy of formation**: 32 kJ/mol of formula units
**Total DFT energy (no corrections)**: -58.46 eV/cell

---

A geometry-optimized La3Dy2Y6Er structure. Source: the Alexandria database, functional GGA-PBE.

The structure in POSCAR format:
```
La3Dy2Y6Er
1.0
6.252 -0.001 0.001
-3.126 5.415 0.001
-1.045 -1.809 11.721
Y La Er Dy
6 3 1 2
Direct
0.748 0.748 0.244 Y
0.586 0.919 0.756 Y
0.919 0.586 0.756 Y
0.252 0.252 0.756 Y
0.081 0.414 0.244 Y
0.414 0.081 0.244 Y
0.833 0.167 0.500 La
0.167 0.833 0.500 La
0.500 0.500 0.500 La
0.000 0.000 0.000 Er
0.333 0.667 0.000 Dy
0.667 0.333 0.000 Dy
```

Values from the calculation:
**Space-group type**: No. 12
**Energy of formation**: 25 kJ/mol of formula units
**Total DFT energy (no corrections)**: -67.07 eV/cell